# TaTc

A relaxed TaTc crystal (PBE, Alexandria via LeMat-Bulk).

Structure (POSCAR):
```
TaTc
1.0
-1.5259 -2.3741 1.1738
3.0256 -0.1736 -0.3977
1.1761 3.0171 7.6311
Tc Ta
2 2
direct
0.6667 0.3333 0.7500
0.3333 0.6667 0.2500
0.0000 0.0000 0.0000
0.0000 0.0000 0.5000
```

Output
Energy of formation from the pure elements = 0.019 eV/atom

# CaSm4Y2

A relaxed CaSm4Y2 crystal (PBE, Alexandria via LeMat-Bulk).

Structure (POSCAR):
```
CaSm4Y2
1.0
3.6155 0.0000 0.3130
1.7942 3.1389 0.3130
-0.0039 -0.0022 21.0812
Sm Y Ca
4 2 1
direct
0.2823 0.2823 0.1532
0.8567 0.8567 0.4298
0.1433 0.1433 0.5702
0.7177 0.7177 0.8468
0.5702 0.5702 0.2894
0.4298 0.4298 0.7106
0.0000 0.0000 0.0000
```

Output
Energy of formation from the pure elements = 0.031 eV/atom

# MgHCl2

A relaxed MgHCl2 crystal (PBE, Alexandria via LeMat-Bulk).

Structure (POSCAR):
```
MgHCl2
1.0
-2.6301 2.2510 -1.2199
-0.5178 -1.9294 3.0775
4.6234 7.0562 3.0473
Cl H Mg
2 1 1
direct
0.3039 0.3624 0.7098
0.8670 0.4886 0.3949
0.0800 0.9221 0.0519
0.5857 0.9259 0.5524
```

# Te3Au12Br5

A relaxed Te3Au12Br5 crystal (PBE, Alexandria via LeMat-Bulk).

Structure (POSCAR):
```
Te3Au12Br5
1.0
-3.9721 13.3429 -2.9859
-0.6294 -7.8990 -11.8294
-8.7342 -5.4656 9.8268
Te Au Br
12 48 20
direct
0.8750 0.1250 0.2500
0.3750 0.7500 0.6250
0.8750 0.7500 0.1250
0.2500 0.1250 0.3750
0.1250 0.8750 0.7500
0.6250 0.2500 0.3750
0.3750 0.6250 0.2500
0.7500 0.8750 0.6250
0.7500 0.3750 0.1250
0.1250 0.2500 0.8750
0.2500 0.6250 0.8750
0.6250 0.3750 0.7500
0.9267 0.0880 0.8512
0.0733 0.1613 0.4245
0.1488 0.4120 0.0733
0.0755 0.4267 0.8387
0.1613 0.0880 0.7368
0.6613 0.4245 0.5733
0.5755 0.2368 0.1488
0.5733 0.9245 0.6613
0.3512 0.4267 0.0880
0.7368 0.1488 0.0755
0.6488 0.0755 0.2368
0.5733 0.6488 0.4120
0.3387 0.5755 0.4267
0.9245 0.3512 0.2632
0.7368 0.5880 0.1613
0.2632 0.8512 0.9245
0.8387 0.9267 0.0755
0.3387 0.7632 0.4120
0.9245 0.5733 0.1613
0.4120 0.2632 0.3387
0.5880 0.7368 0.6613
0.6613 0.2368 0.5880
0.8512 0.2632 0.4245
0.4120 0.1488 0.5733
0.5880 0.8512 0.4267
0.1613 0.0733 0.9245
0.2368 0.6613 0.0880
0.7632 0.3387 0.9120
0.4267 0.3512 0.5880
0.9120 0.8387 0.7632
0.2368 0.5755 0.6488
0.8512 0.5880 0.9267
0.0880 0.1613 0.2368
0.0880 0.9267 0.3512
0.2632 0.4120 0.8387
0.1488 0.7368 0.5755
0.0733 0.9120 0.1488
0.3512 0.9245 0.7632
0.6488 0.5733 0.9120
0.8387 0.9120 0.2632
0.0755 0.6488 0.7368
0.4267 0.0755 0.3387
0.5755 0.3387 0.9267
0.7632 0.4245 0.3512
0.9267 0.8387 0.5755
0.4245 0.6613 0.0733
0.9120 0.0733 0.6488
0.4245 0.7632 0.8512
0.2500 0.3750 0.6250
0.7500 0.1250 0.8750
0.3750 0.1250 0.7500
0.5000 0.5000 0.5000
0.5000 0.0000 0.0000
0.1250 0.7500 0.3750
0.8750 0.2500 0.6250
0.0000 0.5000 0.0000
0.3750 0.2500 0.1250
0.6250 0.8750 0.2500
0.0000 0.0000 0.5000
0.5000 0.5000 0.0000
0.1250 0.3750 0.2500
0.7500 0.6250 0.3750
0.5000 0.0000 0.5000
0.2500 0.8750 0.1250
0.0000 0.0000 0.0000
0.8750 0.6250 0.7500
0.6250 0.7500 0.8750
0.0000 0.5000 0.5000
```

Output
Uncorrected formation energy = 0.198 eV per atom

# LiAlSe2

A relaxed LiAlSe2 crystal (PBE, Alexandria via LeMat-Bulk).

Structure (POSCAR):
```
LiAlSe2
1.0
4.8758 0.0000 0.0000
0.0000 4.0996 0.0163
0.0000 0.6889 4.0113
Li Al Se
1 1 2
direct
0.5000 0.9043 0.9077
0.0000 0.4477 0.4376
0.0000 0.8318 0.8325
0.5000 0.3162 0.3222
```

Output
Uncorrected formation energy = -0.836 eV per atom

Number 1: E_tot -11.090 eV/atom. Number 2: E_tot -4.798 eV/atom. Number 3: E_tot -2.993 eV/atom. Number 4: E_tot -2.658 eV/atom. Number 5: E_tot -3.992 eV/atom.